VASP calculation (PBE-GGA) on Ti2CuOsRu after structural relaxation.

Lattice parameters (Å, degrees): 4.6851 4.6930 4.6851 90.00 90.00 90.00
Fractional positions:
Ru (0.0000, 0.5000, 0.0000)
Os (0.0000, 0.0000, 0.0000)
Cu (0.5000, 0.5000, 0.5000)
Ti (0.0000, 0.0000, 0.5000)
Ti (0.5000, 0.0000, 0.0000)

Output
E_tot ... -7.130 eV per atom
SG ... P4/mmm
Formation energy ... 0.949 eV/atom